(P)
# Y2HoEr9

A relaxed structure of Y2HoEr9 (PBE, Alexandria).

POSCAR file:
```
Y2HoEr9
1.0
4.979 0.000 0.000
0.000 4.979 0.000
0.000 0.000 14.934
Y Ho Er
2 1 9
Direct
0.000 0.000 0.167
0.000 0.000 0.833
0.000 0.000 0.500
0.000 0.500 0.000
0.000 0.500 0.334
0.000 0.500 0.666
0.500 0.000 0.000
0.500 0.000 0.334
0.500 0.000 0.666
0.500 0.500 0.167
0.500 0.500 0.500
0.500 0.500 0.833
```

space-group type	P4/mmm (123)



(Q)
# Y2HoEr9

A relaxed structure of Y2HoEr9 (PBE, Alexandria).

POSCAR file:
```
Y2HoEr9
1.0
11.135 0.000 0.000
-5.568 9.643 0.000
0.000 0.000 3.466
Y Ho Er
2 1 9
Direct
0.333 0.667 0.000
0.667 0.333 0.000
0.000 0.000 0.000
0.000 0.500 0.000
0.176 0.351 0.500
0.176 0.824 0.500
0.351 0.176 0.500
0.500 0.000 0.000
0.500 0.500 0.000
0.649 0.824 0.500
0.824 0.176 0.500
0.824 0.649 0.500
```

space-group type	P6/mmm (191)



Verdict on stability: (P) comes out on top.



(P)
# Y3Ho7Er2

A relaxed structure of Y3Ho7Er2 (PBE, Alexandria).

POSCAR file:
```
Y3Ho7Er2
1.0
3.238 1.869 10.969
-3.238 1.869 10.969
0.000 -3.738 10.969
Y Ho Er
3 7 2
Direct
0.000 0.000 0.000
0.151 0.151 0.151
0.849 0.849 0.849
0.081 0.587 0.587
0.413 0.413 0.919
0.413 0.919 0.413
0.500 0.500 0.500
0.587 0.081 0.587
0.587 0.587 0.081
0.919 0.413 0.413
0.333 0.333 0.333
0.667 0.667 0.667
```

space-group type	R-3m (166)



(Q)
# Y3Ho7Er2

A relaxed structure of Y3Ho7Er2 (PBE, Alexandria).

POSCAR file:
```
Y3Ho7Er2
1.0
5.749 0.000 0.000
0.000 3.560 0.000
-1.108 0.000 18.503
Y Ho Er
3 7 2
Direct
0.000 0.000 0.000
0.281 0.500 0.633
0.719 0.500 0.367
0.185 0.500 0.144
0.242 0.000 0.463
0.313 0.000 0.821
0.500 0.500 0.000
0.687 0.000 0.179
0.758 0.000 0.537
0.815 0.500 0.856
0.207 0.000 0.294
0.793 0.000 0.706
```

space-group type	P2/m (10)



Verdict on stability: (Q) comes out on top.



(P)
# YHo4Er7

A relaxed structure of YHo4Er7 (PBE, Alexandria).

POSCAR file:
```
YHo4Er7
1.0
6.450 0.000 0.000
0.985 6.673 0.000
2.040 0.402 8.691
Y Ho Er
1 4 7
Direct
0.000 0.000 0.000
0.161 0.616 0.311
0.362 0.195 0.714
0.638 0.805 0.286
0.839 0.384 0.689
0.000 0.500 0.000
0.190 0.106 0.387
0.316 0.703 0.642
0.484 0.250 0.051
0.516 0.750 0.949
0.684 0.297 0.358
0.810 0.894 0.613
```

space-group type	P-1 (2)



(Q)
# YHo4Er7

A relaxed structure of YHo4Er7 (PBE, Alexandria).

POSCAR file:
```
YHo4Er7
1.0
5.996 -2.900 0.000
5.996 2.900 0.000
-5.958 0.000 11.070
Y Ho Er
1 4 7
Direct
0.000 0.000 0.000
0.249 0.249 0.684
0.365 0.365 0.225
0.635 0.635 0.775
0.751 0.751 0.316
0.059 0.059 0.325
0.213 0.213 0.924
0.365 0.365 0.498
0.500 0.500 0.000
0.635 0.635 0.502
0.787 0.787 0.076
0.941 0.941 0.675
```

space-group type	C2/m (12)



Verdict on stability: (P) comes out on top.



(P)
# Y3Ho2Er7

A relaxed structure of Y3Ho2Er7 (PBE, Alexandria).

POSCAR file:
```
Y3Ho2Er7
1.0
6.146 0.000 0.000
0.000 5.481 0.000
-0.529 0.000 11.934
Y Ho Er
3 2 7
Direct
0.000 0.000 0.000
0.447 0.500 0.337
0.553 0.500 0.663
0.105 0.000 0.280
0.895 0.000 0.720
0.069 0.500 0.820
0.267 0.000 0.548
0.417 0.000 0.834
0.500 0.500 0.000
0.583 0.000 0.166
0.733 0.000 0.452
0.931 0.500 0.180
```

space-group type	P2/m (10)



(Q)
# Y3Ho2Er7

A relaxed structure of Y3Ho2Er7 (PBE, Alexandria).

POSCAR file:
```
Y3Ho2Er7
1.0
2.820 -18.671 0.000
2.820 18.671 0.000
0.000 0.000 3.578
Y Ho Er
3 2 7
Direct
0.000 0.000 0.000
0.185 0.815 0.000
0.815 0.185 0.000
0.353 0.647 0.500
0.647 0.353 0.500
0.092 0.908 0.500
0.269 0.731 0.500
0.428 0.572 0.000
0.500 0.500 0.500
0.572 0.428 0.000
0.731 0.269 0.500
0.908 0.092 0.500
```

space-group type	Cmmm (65)



Verdict on stability: (Q) comes out on top.



(P)
# Y7Ho2Er2

A relaxed structure of Y7Ho2Er2 (PBE, Alexandria).

POSCAR file:
```
Y7Ho2Er2
1.0
4.479 -4.703 0.000
4.479 4.703 0.000
-1.651 0.000 8.468
Y Ho Er
7 2 2
Direct
0.000 0.000 0.000
0.080 0.450 0.790
0.154 0.154 0.410
0.450 0.080 0.790
0.550 0.920 0.210
0.846 0.846 0.590
0.920 0.550 0.210
0.396 0.396 0.144
0.604 0.604 0.856
0.324 0.676 0.500
0.676 0.324 0.500
```

space-group type	C2/m (12)



(Q)
# Y7Ho2Er2

A relaxed structure of Y7Ho2Er2 (PBE, Alexandria).

POSCAR file:
```
Y7Ho2Er2
1.0
-2.754 7.918 4.071
2.754 -7.918 4.071
2.754 7.918 -4.071
Y Ho Er
7 2 2
Direct
0.000 0.000 0.000
0.137 0.298 0.839
0.146 0.507 0.639
0.455 0.092 0.363
0.459 0.298 0.161
0.729 0.092 0.637
0.868 0.507 0.361
0.000 0.799 0.201
0.598 0.799 0.799
0.298 0.798 0.500
0.588 0.588 0.000
```

space-group type	Imm2 (44)



Verdict on stability: (P) comes out on top.



(P)
# Y6Ho3Er

A relaxed structure of Y6Ho3Er (PBE, Alexandria).

POSCAR file:
```
Y6Ho3Er
1.0
4.814 -10.458 0.000
4.814 10.458 0.000
0.000 0.000 6.373
Y Ho Er
12 6 2
Direct
0.015 0.985 0.500
0.105 0.542 0.007
0.258 0.378 0.249
0.301 0.699 0.467
0.378 0.258 0.749
0.458 0.895 0.007
0.542 0.105 0.507
0.622 0.742 0.249
0.699 0.301 0.967
0.742 0.622 0.749
0.895 0.458 0.507
0.985 0.015 0.000
0.041 0.295 0.670
0.295 0.041 0.170
0.419 0.581 0.774
0.581 0.419 0.274
0.705 0.959 0.670
0.959 0.705 0.170
0.161 0.839 0.698
0.839 0.161 0.198
```

space-group type	Cmc2_1 (36)



(Q)
# Y6Ho3Er

A relaxed structure of Y6Ho3Er (PBE, Alexandria).

POSCAR file:
```
Y6Ho3Er
1.0
5.477 -9.457 0.000
5.477 9.457 0.000
0.000 0.000 6.234
Y Ho Er
12 6 2
Direct
0.047 0.465 0.948
0.047 0.953 0.500
0.280 0.720 0.244
0.290 0.381 0.130
0.381 0.290 0.630
0.465 0.047 0.448
0.535 0.953 0.948
0.619 0.710 0.130
0.710 0.619 0.630
0.720 0.280 0.744
0.953 0.047 0.000
0.953 0.535 0.448
0.061 0.280 0.545
0.280 0.061 0.045
0.389 0.611 0.663
0.611 0.389 0.163
0.720 0.939 0.545
0.939 0.720 0.045
0.206 0.794 0.740
0.794 0.206 0.240
```

space-group type	Cmc2_1 (36)



Verdict on stability: (P) comes out on top.



(P)
# Y4HoEr4

A relaxed structure of Y4HoEr4 (PBE, Alexandria).

POSCAR file:
```
Y4HoEr4
1.0
8.369 -2.746 0.000
8.369 2.746 0.000
-2.568 0.000 6.216
Y Ho Er
4 1 4
Direct
0.135 0.135 0.473
0.279 0.279 0.203
0.721 0.721 0.797
0.865 0.865 0.527
0.500 0.500 0.500
0.072 0.072 0.887
0.366 0.366 0.801
0.634 0.634 0.199
0.928 0.928 0.113
```

space-group type	C2/m (12)



(Q)
# Y4HoEr4

A relaxed structure of Y4HoEr4 (PBE, Alexandria).

POSCAR file:
```
Y4HoEr4
1.0
-5.310 5.310 2.498
5.310 -5.310 2.498
5.310 5.310 -2.498
Y Ho Er
4 1 4
Direct
0.167 0.167 0.333
0.167 0.833 0.000
0.833 0.167 0.000
0.833 0.833 0.667
0.500 0.500 0.000
0.165 0.500 0.665
0.500 0.165 0.665
0.500 0.835 0.335
0.835 0.500 0.335
```

space-group type	I4/mmm (139)



Verdict on stability: (Q) comes out on top.



(P)
# YHo2Er4

A relaxed structure of YHo2Er4 (PBE, Alexandria).

POSCAR file:
```
YHo2Er4
1.0
6.088 0.000 0.000
-2.917 8.830 0.000
-2.109 -3.549 8.447
Y Ho Er
2 4 8
Direct
0.000 0.000 0.000
0.357 0.271 0.667
0.049 0.527 0.343
0.398 0.791 0.991
0.643 0.733 0.333
0.840 0.129 0.329
0.166 0.878 0.665
0.203 0.399 0.007
0.244 0.930 0.333
0.449 0.330 0.332
0.588 0.670 0.666
0.599 0.200 0.004
0.751 0.064 0.666
0.806 0.599 0.010
```

space-group type	P1 (1)



(Q)
# YHo2Er4

A relaxed structure of YHo2Er4 (PBE, Alexandria).

POSCAR file:
```
YHo2Er4
1.0
5.998 0.000 0.000
2.995 7.807 0.000
2.982 -0.219 9.320
Y Ho Er
2 4 8
Direct
0.000 0.000 0.000
0.287 0.140 0.285
0.169 0.641 0.786
0.186 0.570 0.143
0.885 0.499 0.499
0.986 0.070 0.642
0.354 0.713 0.424
0.391 0.216 0.921
0.428 0.283 0.567
0.565 0.856 0.718
0.608 0.781 0.067
0.743 0.359 0.218
0.779 0.427 0.861
0.815 0.924 0.364
```

space-group type	P1 (1)



Verdict on stability: (Q) comes out on top.